1.
Material: Pb2Cl
Method: DFT, PBE
State: optimized geometry

Lattice parameters (Å, degrees): 12.192 12.192 12.192 161.28 161.28 26.59
Positions (direct):
Cl 0.750 0.250 0.500
Cl 0.000 0.000 0.000
Pb 0.180 0.680 0.500
Pb 0.430 0.430 0.000
Pb 0.570 0.570 0.000
Pb 0.320 0.820 0.500

Computed properties:
SG: No. 141
Formation energy (no corrections) in eV per atom: -0.165
Crystal system: tetragonal

2.
Material: Pb3Cl
Method: DFT, PBE
State: optimized geometry

Lattice parameters (Å, degrees): 3.597 3.597 10.496 90.00 90.00 120.00
Positions (direct):
Pb 0.667 0.333 0.773
Pb 0.000 0.000 0.500
Pb 0.667 0.333 0.227
Cl 0.000 0.000 0.000

Computed properties:
SG: No. 187
Formation energy (no corrections) in eV per atom: -0.295
Crystal system: hexagonal

3.
Material: Pb3Cl2
Method: DFT, PBE
State: optimized geometry

Lattice parameters (Å, degrees): 5.425 5.425 6.033 90.00 90.00 120.00
Positions (direct):
Pb 0.667 0.333 0.555
Pb 0.333 0.667 0.445
Pb 0.000 0.000 0.000
Cl 0.333 0.667 0.931
Cl 0.667 0.333 0.069

Computed properties:
SG: No. 164
Formation energy (no corrections) in eV per atom: -0.369
Crystal system: trigonal

4.
Material: Pb2Cl3
Method: DFT, PBE
State: optimized geometry

Lattice parameters (Å, degrees): 10.662 9.270 6.630 82.42 59.53 38.06
Positions (direct):
Cl 0.954 0.546 0.546
Cl 0.341 0.276 0.779
Cl 0.974 0.909 0.646
Cl 0.704 0.296 0.296
Cl 0.471 0.646 0.909
Cl 0.604 0.779 0.276
Pb 0.074 0.208 0.941
Pb 0.309 0.474 0.176
Pb 0.776 0.941 0.208
Pb 0.042 0.176 0.474

Computed properties:
SG: No. 43
Formation energy (no corrections) in eV per atom: -0.903
Crystal system: orthorhombic

5.
Material: PbCl3
Method: DFT, PBE
State: optimized geometry

Lattice parameters (Å, degrees): 3.633 3.633 9.069 90.00 90.00 89.95
Each line ends with the local moment (μB).
Positions (direct):
Pb 0.500 0.500 0.250  0.01
Cl 0.500 0.500 0.750  0.70
Cl 0.000 0.000 0.069  0.04
Cl 0.000 0.000 0.431  0.04

Computed properties:
SG: No. 123
Formation energy (no corrections) in eV per atom: -0.448
Crystal system: tetragonal

6.
Material: Pb2Cl
Method: DFT, PBE
State: optimized geometry

Lattice parameters (Å, degrees): 3.610 3.610 7.681 90.00 90.00 120.00
Positions (direct):
Pb 0.333 0.667 0.690
Pb 0.667 0.333 0.310
Cl 0.000 0.000 0.000

Computed properties:
SG: No. 164
Formation energy (no corrections) in eV per atom: -0.335
Crystal system: trigonal

no.,calculated total energy (eV/cell)
1,-19.52
2,-14.15
3,-16.66
4,-34.94
5,-11.04
6,-10.27